# 1
! Ta3B4W3 PBE-GGA optimized geometry; values from VASP
! * formation energy from the elements: -0.5739 eV per atom
! * V: 121.8 Å³/cell
! * relative energy among the computed polymorphs: 0.000 eV per atom
! * DOS(E_F): 3.35 states/eV/cell
&SYSTEM
  ibrav = 0, nat = 10, ntyp = 3
/
ATOMIC_SPECIES
Ta 180.95 Ta.upf
B 10.81 B.upf
W 183.84 W.upf
ATOMIC_POSITIONS crystal
Ta 0.0000 0.0000 0.0000
Ta 0.0000 0.4977 0.8505
Ta 0.0000 0.8505 0.4977
B 0.5000 0.0658 0.2870
B 0.5000 0.2870 0.0658
B 0.5000 0.5603 0.5603
B 0.5000 0.7869 0.7869
W 0.0000 0.3496 0.3496
W 0.5000 0.1749 0.6727
W 0.5000 0.6727 0.1749
CELL_PARAMETERS angstrom
3.2762 0.0000 0.0000
0.0000 4.3243 4.2979
0.0000 -4.3243 4.2979

=====

# 2
! Sr3HgGe4 PBE-GGA optimized geometry; values from VASP
! * formation energy from the elements: -0.3632 eV per atom
! * V: 243.7 Å³/cell
! * DOS(E_F): 3.82 states/eV/cell
&SYSTEM
  ibrav = 0, nat = 8, ntyp = 3
/
ATOMIC_SPECIES
Sr 87.62 Sr.upf
Hg 200.59 Hg.upf
Ge 72.64 Ge.upf
ATOMIC_POSITIONS crystal
Sr 0.0000 0.0000 0.0000
Sr 0.3070 0.8070 0.5000
Sr 0.6930 0.1930 0.5000
Hg 0.5000 0.5000 0.0000
Ge 0.0726 0.3776 0.6950
Ge 0.3174 0.6224 0.6950
Ge 0.6826 0.3776 0.3050
Ge 0.9274 0.6224 0.3050
CELL_PARAMETERS angstrom
-2.3472 3.0953 8.3841
2.3472 -3.0953 8.3841
2.3472 3.0953 -8.3841